# 1
Density functional theory data (PBE) for PmGdZnSn after structural relaxation.

- density (g/cm³) = 7.78
- energy relative to the elements (meV per atom) = -519
- E (eV per atom) = -6.546

The structure in POSCAR format:
```
PmGdZnSn
1.0
5.2753 0.0000 0.0000
2.6377 4.5686 0.0000
2.6377 1.5229 4.3073
Zn Gd Sn Pm
1 1 1 1
direct
0.7500 0.7500 0.7500
0.5000 0.5000 0.5000
0.2500 0.2500 0.2500
0.0000 0.0000 0.0000
```



# 2
Density functional theory data (PBE) for Sc5CuIr4 after structural relaxation.

- density (g/cm³) = 10.34
- energy relative to the elements (meV per atom) = -878
- E (eV per atom) = -7.997

The structure in POSCAR format:
```
Sc5CuIr4
1.0
-2.0896 -1.3499 1.9852
0.2488 -2.7394 -1.6010
12.5686 -4.7162 10.0228
Sc Cu Ir
5 1 4
direct
0.5000 0.5000 0.1018
0.5000 0.5000 0.3011
0.5000 0.5000 0.5000
0.5000 0.5000 0.6989
0.5000 0.5000 0.8982
0.0000 0.0000 0.0000
0.0000 0.0000 0.2006
0.0000 0.0000 0.4006
0.0000 0.0000 0.5994
0.0000 0.0000 0.7994
```



Question: Among the records above, which one has the lowest density?
Answer: PmGdZnSn